Li3MnPd6 | PBE | optimized geometry

Values from the calculation:
As for the crystal system: cubic. Its formation enthalpy at 0 K is 26 kJ per mole of atoms. As for the volume: 18.08 A^3/atom. As for the relative energy among the computed polymorphs: 595 meV per atom.

Cell lengths 8.976, 8.976, 8.976 Å; angles 90.00, 90.00, 90.00 degrees
Space group Fm-3m (No. 225)
One atom of each set of equivalent atoms:
Li: 0.000 0.000 0.000 [4 per cell]
Li: 0.250 0.250 0.250 [8 per cell]
Mn: 0.000 0.000 0.500 [4 per cell]
Pd: 0.000 0.000 0.240 [24 per cell]